! NiTeN2Cl | the Alexandria database | GGA-PBEsol | optimized geometry; values from VASP
! Symmetry: P4/mmm (123)
! Formation energy (no corrections), meV per atom: 1145.1
&SYSTEM
  ibrav = 0, nat = 5, ntyp = 4
/
ATOMIC_SPECIES
Ni 58.69 Ni.upf
Te 127.60 Te.upf
N 14.01 N.upf
Cl 35.45 Cl.upf
CELL_PARAMETERS angstrom
3.792 0.000 0.000
0.000 3.792 0.000
0.000 0.000 5.368
ATOMIC_POSITIONS crystal
Ni 0.000 0.000 0.000
Te 0.000 0.000 0.500
N 0.000 0.500 0.000
N 0.500 0.000 0.000
Cl 0.500 0.500 0.500

! Pr4Si4N7ClO3 | the Alexandria database | GGA-PBEsol | optimized geometry; values from VASP
! Symmetry: P2_12_12_1 (19)
! Formation energy (no corrections), meV per atom: -2004.2
&SYSTEM
  ibrav = 0, nat = 76, ntyp = 5
/
ATOMIC_SPECIES
Pr 140.91 Pr.upf
Si 28.09 Si.upf
N 14.01 N.upf
Cl 35.45 Cl.upf
O 16.00 O.upf
CELL_PARAMETERS angstrom
10.324 0.000 0.000
0.000 10.389 0.000
0.000 0.000 10.521
ATOMIC_POSITIONS crystal
Pr 0.044 0.184 0.309
Pr 0.107 0.893 0.898
Pr 0.183 0.812 0.544
Pr 0.194 0.550 0.821
Pr 0.306 0.450 0.321
Pr 0.317 0.188 0.044
Pr 0.393 0.107 0.398
Pr 0.456 0.816 0.809
Pr 0.544 0.316 0.691
Pr 0.607 0.607 0.102
Pr 0.683 0.688 0.456
Pr 0.694 0.950 0.179
Pr 0.806 0.050 0.679
Pr 0.817 0.312 0.956
Pr 0.893 0.393 0.602
Pr 0.956 0.684 0.191
Si 0.073 0.429 0.071
Si 0.081 0.258 0.804
Si 0.196 0.919 0.256
Si 0.247 0.698 0.076
Si 0.253 0.302 0.576
Si 0.304 0.081 0.756
Si 0.419 0.742 0.304
Si 0.427 0.571 0.571
Si 0.573 0.071 0.929
Si 0.581 0.242 0.196
Si 0.696 0.581 0.744
Si 0.747 0.802 0.924
Si 0.753 0.198 0.424
Si 0.804 0.419 0.244
Si 0.919 0.758 0.696
Si 0.927 0.929 0.429
N 0.052 0.367 0.922
N 0.078 0.945 0.365
N 0.130 0.349 0.676
N 0.134 0.579 0.054
N 0.150 0.826 0.130
N 0.174 0.130 0.850
N 0.212 0.258 0.424
N 0.288 0.742 0.924
N 0.326 0.870 0.350
N 0.350 0.174 0.630
N 0.366 0.421 0.554
N 0.370 0.651 0.176
N 0.422 0.055 0.865
N 0.448 0.633 0.422
N 0.552 0.133 0.078
N 0.578 0.555 0.635
N 0.630 0.151 0.324
N 0.634 0.921 0.946
N 0.650 0.674 0.870
N 0.674 0.370 0.150
N 0.712 0.242 0.576
N 0.788 0.758 0.076
N 0.826 0.630 0.650
N 0.850 0.326 0.370
N 0.866 0.079 0.446
N 0.870 0.849 0.824
N 0.922 0.445 0.135
N 0.948 0.867 0.578
Cl 0.074 0.577 0.431
Cl 0.426 0.423 0.931
Cl 0.574 0.923 0.569
Cl 0.926 0.077 0.069
O 0.071 0.715 0.736
O 0.167 0.334 0.159
O 0.240 0.068 0.211
O 0.260 0.932 0.711
O 0.333 0.666 0.659
O 0.429 0.285 0.236
O 0.571 0.785 0.264
O 0.667 0.166 0.841
O 0.740 0.432 0.789
O 0.760 0.568 0.289
O 0.833 0.834 0.341
O 0.929 0.215 0.764

! OsN2Cl | the Alexandria database | GGA-PBEsol | optimized geometry; values from VASP
! Symmetry: R-3m (166)
! Formation energy (no corrections), meV per atom: 1673.6
&SYSTEM
  ibrav = 0, nat = 4, ntyp = 3
/
ATOMIC_SPECIES
Os 190.23 Os.upf
N 14.01 N.upf
Cl 35.45 Cl.upf
CELL_PARAMETERS angstrom
1.458 0.842 6.589
-1.458 0.842 6.589
0.000 -1.683 6.589
ATOMIC_POSITIONS crystal
Os 0.000 0.000 0.000
N 0.092 0.092 0.092
N 0.908 0.908 0.908
Cl 0.500 0.500 0.500

! OsNCl3 | the Alexandria database | GGA-PBEsol | optimized geometry; values from VASP
! Symmetry: Pm-3m (221)
! Formation energy (no corrections), meV per atom: 1153.3
&SYSTEM
  ibrav = 0, nat = 5, ntyp = 3
/
ATOMIC_SPECIES
Os 190.23 Os.upf
N 14.01 N.upf
Cl 35.45 Cl.upf
CELL_PARAMETERS angstrom
4.711 0.000 0.000
0.000 4.711 0.000
0.000 0.000 4.711
ATOMIC_POSITIONS crystal
Os 0.000 0.000 0.000
N 0.500 0.500 0.500
Cl 0.000 0.000 0.500
Cl 0.000 0.500 0.000
Cl 0.500 0.000 0.000

! OsS2NCl | the Alexandria database | GGA-PBEsol | optimized geometry; values from VASP
! Symmetry: P4/mmm (123)
! Formation energy (no corrections), meV per atom: 1979.8
&SYSTEM
  ibrav = 0, nat = 5, ntyp = 4
/
ATOMIC_SPECIES
Os 190.23 Os.upf
S 32.06 S.upf
N 14.01 N.upf
Cl 35.45 Cl.upf
CELL_PARAMETERS angstrom
4.566 0.000 0.000
0.000 4.566 0.000
0.000 0.000 3.180
ATOMIC_POSITIONS crystal
Os 0.000 0.000 0.000
S 0.000 0.500 0.500
S 0.500 0.000 0.500
N 0.500 0.500 0.000
Cl 0.500 0.500 0.500

! OsSNCl2 | the Alexandria database | GGA-PBEsol | optimized geometry; values from VASP
! Symmetry: P4/mmm (123)
! Formation energy (no corrections), meV per atom: 1791.2
&SYSTEM
  ibrav = 0, nat = 5, ntyp = 4
/
ATOMIC_SPECIES
Os 190.23 Os.upf
S 32.06 S.upf
N 14.01 N.upf
Cl 35.45 Cl.upf
CELL_PARAMETERS angstrom
3.964 0.000 0.000
0.000 3.964 0.000
0.000 0.000 4.660
ATOMIC_POSITIONS crystal
Os 0.000 0.000 0.000
S 0.500 0.500 0.000
N 0.500 0.500 0.500
Cl 0.000 0.500 0.500
Cl 0.500 0.000 0.500

! TeOsNCl2 | the Alexandria database | GGA-PBEsol | optimized geometry; values from VASP
! Symmetry: P4/mmm (123)
! Formation energy (no corrections), meV per atom: 1794.1
&SYSTEM
  ibrav = 0, nat = 5, ntyp = 4
/
ATOMIC_SPECIES
Te 127.60 Te.upf
Os 190.23 Os.upf
N 14.01 N.upf
Cl 35.45 Cl.upf
CELL_PARAMETERS angstrom
5.462 0.000 0.000
0.000 5.462 0.000
0.000 0.000 3.915
ATOMIC_POSITIONS crystal
Te 0.000 0.000 0.000
Os 0.500 0.500 0.500
N 0.000 0.000 0.500
Cl 0.000 0.500 0.000
Cl 0.500 0.000 0.000

! P4N3Cl11 | the Alexandria database | GGA-PBEsol | optimized geometry; values from VASP
! Symmetry: R3 (146)
! Formation energy (no corrections), meV per atom: -618.7
&SYSTEM
  ibrav = 0, nat = 18, ntyp = 3
/
ATOMIC_SPECIES
P 30.97 P.upf
N 14.01 N.upf
Cl 35.45 Cl.upf
CELL_PARAMETERS angstrom
5.376 3.104 4.815
-5.376 3.104 4.815
0.000 -6.207 4.815
ATOMIC_POSITIONS crystal
P 0.000 0.000 0.000
P 0.294 0.875 0.788
P 0.788 0.294 0.875
P 0.875 0.788 0.294
N 0.126 0.865 0.902
N 0.865 0.902 0.126
N 0.902 0.126 0.865
Cl 0.078 0.623 0.313
Cl 0.141 0.141 0.141
Cl 0.313 0.078 0.623
Cl 0.330 0.671 0.652
Cl 0.394 0.394 0.394
Cl 0.502 0.876 0.924
Cl 0.623 0.313 0.078
Cl 0.652 0.330 0.671
Cl 0.671 0.652 0.330
Cl 0.876 0.924 0.502
Cl 0.924 0.502 0.876

! PNCl2 | the Alexandria database | GGA-PBEsol | optimized geometry; values from VASP
! Symmetry: P4_2/n (86)
! Formation energy (no corrections), meV per atom: -616.4
! Relative energy among the computed polymorphs, meV per atom: 0.0
&SYSTEM
  ibrav = 0, nat = 32, ntyp = 3
/
ATOMIC_SPECIES
P 30.97 P.upf
N 14.01 N.upf
Cl 35.45 Cl.upf
CELL_PARAMETERS angstrom
11.219 0.000 0.000
0.000 11.219 0.000
0.000 0.000 6.033
ATOMIC_POSITIONS crystal
P 0.080 0.292 0.193
P 0.208 0.080 0.307
P 0.292 0.420 0.307
P 0.420 0.208 0.193
P 0.580 0.792 0.807
P 0.708 0.580 0.693
P 0.792 0.920 0.693
P 0.920 0.708 0.807
N 0.118 0.158 0.166
N 0.158 0.382 0.334
N 0.342 0.118 0.334
N 0.382 0.342 0.166
N 0.618 0.658 0.834
N 0.658 0.882 0.666
N 0.842 0.618 0.666
N 0.882 0.842 0.834
Cl 0.052 0.352 0.884
Cl 0.083 0.700 0.671
Cl 0.148 0.052 0.616
Cl 0.200 0.917 0.171
Cl 0.300 0.583 0.171
Cl 0.352 0.448 0.616
Cl 0.417 0.800 0.671
Cl 0.448 0.148 0.884
Cl 0.552 0.852 0.116
Cl 0.583 0.200 0.329
Cl 0.648 0.552 0.384
Cl 0.700 0.417 0.829
Cl 0.800 0.083 0.829
Cl 0.852 0.948 0.384
Cl 0.917 0.300 0.329
Cl 0.948 0.648 0.116

! PNCl2 | the Alexandria database | GGA-PBEsol | optimized geometry; values from VASP
! Symmetry: Pnma (62)
! Formation energy (no corrections), meV per atom: -609.1
! Relative energy among the computed polymorphs, meV per atom: 7.4
&SYSTEM
  ibrav = 0, nat = 48, ntyp = 3
/
ATOMIC_SPECIES
P 30.97 P.upf
N 14.01 N.upf
Cl 35.45 Cl.upf
CELL_PARAMETERS angstrom
14.495 0.000 0.000
0.000 13.214 0.000
0.000 0.000 6.375
ATOMIC_POSITIONS crystal
P 0.057 0.250 0.067
P 0.095 0.645 0.082
P 0.095 0.855 0.082
P 0.405 0.145 0.582
P 0.405 0.355 0.582
P 0.443 0.750 0.567
P 0.557 0.250 0.433
P 0.595 0.645 0.418
P 0.595 0.855 0.418
P 0.905 0.145 0.918
P 0.905 0.355 0.918
P 0.943 0.750 0.933
N 0.004 0.146 0.022
N 0.004 0.354 0.022
N 0.146 0.750 0.125
N 0.354 0.250 0.625
N 0.496 0.646 0.522
N 0.496 0.854 0.522
N 0.504 0.146 0.478
N 0.504 0.354 0.478
N 0.646 0.750 0.375
N 0.854 0.250 0.875
N 0.996 0.646 0.978
N 0.996 0.854 0.978
Cl 0.090 0.567 0.352
Cl 0.090 0.933 0.352
Cl 0.100 0.250 0.365
Cl 0.176 0.250 0.909
Cl 0.179 0.559 0.908
Cl 0.179 0.941 0.908
Cl 0.321 0.059 0.408
Cl 0.321 0.441 0.408
Cl 0.324 0.750 0.409
Cl 0.400 0.750 0.865
Cl 0.410 0.067 0.852
Cl 0.410 0.433 0.852
Cl 0.590 0.567 0.148
Cl 0.590 0.933 0.148
Cl 0.600 0.250 0.135
Cl 0.676 0.250 0.591
Cl 0.679 0.559 0.592
Cl 0.679 0.941 0.592
Cl 0.821 0.059 0.092
Cl 0.821 0.441 0.092
Cl 0.824 0.750 0.091
Cl 0.900 0.750 0.635
Cl 0.910 0.067 0.648
Cl 0.910 0.433 0.648

! PNCl2 | the Alexandria database | GGA-PBEsol | optimized geometry; values from VASP
! Symmetry: I4_1/amd (141)
! Formation energy (no corrections), meV per atom: 1564.4
! Relative energy among the computed polymorphs, meV per atom: 2180.9
&SYSTEM
  ibrav = 0, nat = 8, ntyp = 3
/
ATOMIC_SPECIES
P 30.97 P.upf
N 14.01 N.upf
Cl 35.45 Cl.upf
CELL_PARAMETERS angstrom
-3.002 3.002 4.439
3.002 -3.002 4.439
3.002 3.002 -4.439
ATOMIC_POSITIONS crystal
P 0.375 0.625 0.750
P 0.625 0.375 0.250
N 0.125 0.875 0.250
N 0.875 0.125 0.750
Cl 0.000 0.000 0.000
Cl 0.000 0.000 0.500
Cl 0.000 0.500 0.000
Cl 0.500 0.000 0.500

! PPbNCl2 | the Alexandria database | GGA-PBEsol | optimized geometry; values from VASP
! Symmetry: P4/mmm (123)
! Formation energy (no corrections), meV per atom: 251.6
! Relative energy among the computed polymorphs, meV per atom: 0.0
&SYSTEM
  ibrav = 0, nat = 5, ntyp = 4
/
ATOMIC_SPECIES
P 30.97 P.upf
Pb 207.20 Pb.upf
N 14.01 N.upf
Cl 35.45 Cl.upf
CELL_PARAMETERS angstrom
5.714 0.000 0.000
0.000 5.714 0.000
0.000 0.000 3.252
ATOMIC_POSITIONS crystal
P 0.000 0.000 0.000
Pb 0.500 0.500 0.000
N 0.000 0.000 0.500
Cl 0.000 0.500 0.500
Cl 0.500 0.000 0.500

! PPbNCl2 | the Alexandria database | GGA-PBEsol | optimized geometry; values from VASP
! Symmetry: P4/mmm (123)
! Formation energy (no corrections), meV per atom: 1173.2
! Relative energy among the computed polymorphs, meV per atom: 921.6
&SYSTEM
  ibrav = 0, nat = 5, ntyp = 4
/
ATOMIC_SPECIES
P 30.97 P.upf
Pb 207.20 Pb.upf
N 14.01 N.upf
Cl 35.45 Cl.upf
CELL_PARAMETERS angstrom
5.454 0.000 0.000
0.000 5.454 0.000
0.000 0.000 5.446
ATOMIC_POSITIONS crystal
P 0.000 0.000 0.000
Pb 0.000 0.000 0.500
N 0.500 0.500 0.000
Cl 0.000 0.500 0.500
Cl 0.500 0.000 0.500

! PRuNCl2 | the Alexandria database | GGA-PBEsol | optimized geometry; values from VASP
! Symmetry: P4/mmm (123)
! Formation energy (no corrections), meV per atom: 1292.6
&SYSTEM
  ibrav = 0, nat = 5, ntyp = 4
/
ATOMIC_SPECIES
P 30.97 P.upf
Ru 101.07 Ru.upf
N 14.01 N.upf
Cl 35.45 Cl.upf
CELL_PARAMETERS angstrom
5.308 0.000 0.000
0.000 5.308 0.000
0.000 0.000 3.214
ATOMIC_POSITIONS crystal
P 0.000 0.000 0.000
Ru 0.500 0.500 0.000
N 0.000 0.000 0.500
Cl 0.000 0.500 0.500
Cl 0.500 0.000 0.500

! PSNCl2 | the Alexandria database | GGA-PBEsol | optimized geometry; values from VASP
! Symmetry: P4/mmm (123)
! Formation energy (no corrections), meV per atom: 1098.6
&SYSTEM
  ibrav = 0, nat = 5, ntyp = 4
/
ATOMIC_SPECIES
P 30.97 P.upf
S 32.06 S.upf
N 14.01 N.upf
Cl 35.45 Cl.upf
CELL_PARAMETERS angstrom
4.723 0.000 0.000
0.000 4.723 0.000
0.000 0.000 4.465
ATOMIC_POSITIONS crystal
P 0.000 0.000 0.000
S 0.000 0.000 0.500
N 0.500 0.500 0.500
Cl 0.000 0.500 0.000
Cl 0.500 0.000 0.000

! ScPNCl2 | the Alexandria database | GGA-PBEsol | optimized geometry; values from VASP
! Symmetry: P4/mmm (123)
! Formation energy (no corrections), meV per atom: 291.1
&SYSTEM
  ibrav = 0, nat = 5, ntyp = 4
/
ATOMIC_SPECIES
Sc 44.96 Sc.upf
P 30.97 P.upf
N 14.01 N.upf
Cl 35.45 Cl.upf
CELL_PARAMETERS angstrom
4.828 0.000 0.000
0.000 4.828 0.000
0.000 0.000 5.353
ATOMIC_POSITIONS crystal
Sc 0.000 0.000 0.000
P 0.000 0.000 0.500
N 0.500 0.500 0.500
Cl 0.000 0.500 0.000
Cl 0.500 0.000 0.000

! SiP2NCl | the Alexandria database | GGA-PBEsol | optimized geometry; values from VASP
! Symmetry: P4/mmm (123)
! Formation energy (no corrections), meV per atom: 985.4
&SYSTEM
  ibrav = 0, nat = 5, ntyp = 4
/
ATOMIC_SPECIES
Si 28.09 Si.upf
P 30.97 P.upf
N 14.01 N.upf
Cl 35.45 Cl.upf
CELL_PARAMETERS angstrom
4.102 0.000 0.000
0.000 4.102 0.000
0.000 0.000 4.177
ATOMIC_POSITIONS crystal
Si 0.000 0.000 0.000
P 0.000 0.500 0.500
P 0.500 0.000 0.500
N 0.500 0.500 0.500
Cl 0.500 0.500 0.000

! SnPNCl2 | the Alexandria database | GGA-PBEsol | optimized geometry; values from VASP
! Symmetry: P4/mmm (123)
! Formation energy (no corrections), meV per atom: 347.1
&SYSTEM
  ibrav = 0, nat = 5, ntyp = 4
/
ATOMIC_SPECIES
Sn 118.71 Sn.upf
P 30.97 P.upf
N 14.01 N.upf
Cl 35.45 Cl.upf
CELL_PARAMETERS angstrom
5.690 0.000 0.000
0.000 5.690 0.000
0.000 0.000 3.229
ATOMIC_POSITIONS crystal
Sn 0.000 0.000 0.000
P 0.500 0.500 0.000
N 0.500 0.500 0.500
Cl 0.000 0.500 0.500
Cl 0.500 0.000 0.500